Arrangement P

Here is Ce5TlRu after structural relaxation from Alexandria via LeMat-Bulk. Energies are from PBE.

- SG: P4/mmm, No. 123
- N(E_F): 2.660 states/eV/atom

Lattice parameters (Å, degrees): 4.963 4.963 7.608 90.00 90.00 90.00
Sites, in units of the cell vectors:
1 Ce 0.000 0.000 0.000
2 Ce 0.000 0.500 0.300
3 Ce 0.000 0.500 0.700
4 Ce 0.500 0.000 0.300
5 Ce 0.500 0.000 0.700
6 Tl 0.500 0.500 0.000
7 Ru 0.000 0.000 0.500

Arrangement Q

Here is Ce5TlRu after structural relaxation from Alexandria via LeMat-Bulk. Energies are from PBE.

- SG: C2/c, No. 15
- N(E_F): 2.630 states/eV/atom

Lattice parameters (Å, degrees): 7.279 7.279 9.192 108.53 108.53 52.79
Sites, in units of the cell vectors:
1 Ce 0.212 0.215 0.106
2 Ce 0.215 0.212 0.606
3 Ce 0.232 0.768 0.750
4 Ce 0.350 0.371 0.433
5 Ce 0.371 0.350 0.933
6 Ce 0.629 0.650 0.067
7 Ce 0.650 0.629 0.567
8 Ce 0.768 0.232 0.250
9 Ce 0.785 0.788 0.394
10 Ce 0.788 0.785 0.894
11 Tl 0.260 0.740 0.250
12 Tl 0.740 0.260 0.750
13 Ru 0.000 0.000 0.000
14 Ru 0.000 0.000 0.500

Of them, arrangement Q has the lowest stability.

Arrangement P

Here is CeTmTlRu after structural relaxation from Alexandria via LeMat-Bulk. Energies are from PBE.

- SG: P4mm, No. 99
- N(E_F): 0.878 states/eV/atom

Lattice parameters (Å, degrees): 3.372 3.372 8.347 90.00 90.00 90.00
Sites, in units of the cell vectors:
1 Ce 0.000 0.000 0.000
2 Tm 0.000 0.000 0.591
3 Tl 0.500 0.500 0.305
4 Ru 0.500 0.500 0.791

Arrangement Q

Here is CeTmTlRu after structural relaxation from Alexandria via LeMat-Bulk. Energies are from PBE.

- SG: F-43m, No. 216
- N(E_F): 1.437 states/eV/atom

Lattice parameters (Å, degrees): 5.115 5.115 5.115 60.00 60.00 60.00
Sites, in units of the cell vectors:
1 Ce 0.000 0.000 0.000
2 Tm 0.500 0.500 0.500
3 Tl 0.750 0.750 0.750
4 Ru 0.250 0.250 0.250

Of them, arrangement Q has the lowest stability.

Arrangement P

Here is CeYTlRu after structural relaxation from Alexandria via LeMat-Bulk. Energies are from PBE.

- SG: F-43m, No. 216
- N(E_F): 1.496 states/eV/atom

Lattice parameters (Å, degrees): 5.153 5.153 5.153 60.00 60.00 60.00
Sites, in units of the cell vectors:
1 Ce 0.000 0.000 0.000
2 Y 0.500 0.500 0.500
3 Tl 0.250 0.250 0.250
4 Ru 0.750 0.750 0.750

Arrangement Q

Here is CeYTlRu after structural relaxation from Alexandria via LeMat-Bulk. Energies are from PBE.

- SG: P4mm, No. 99
- N(E_F): 0.916 states/eV/atom

Lattice parameters (Å, degrees): 3.398 3.398 8.410 90.00 90.00 90.00
Sites, in units of the cell vectors:
1 Ce 0.000 0.000 0.000
2 Y 0.000 0.000 0.409
3 Tl 0.500 0.500 0.698
4 Ru 0.500 0.500 0.203

Of them, arrangement P has the lowest stability.

Arrangement P

Here is Ce2TmRu3 after structural relaxation from Alexandria via LeMat-Bulk. Energies are from PBE.

- SG: P-3m1, No. 164
- N(E_F): 0.632 states/eV/atom

Lattice parameters (Å, degrees): 4.876 4.876 11.697 90.00 90.00 120.00
Sites, in units of the cell vectors:
1 Ce 0.000 0.000 0.000
2 Ce 0.000 0.000 0.500
3 Ce 0.333 0.667 0.171
4 Ce 0.667 0.333 0.829
5 Tm 0.333 0.667 0.665
6 Tm 0.667 0.333 0.335
7 Ru 0.000 0.000 0.253
8 Ru 0.000 0.000 0.747
9 Ru 0.333 0.667 0.415
10 Ru 0.333 0.667 0.920
11 Ru 0.667 0.333 0.080
12 Ru 0.667 0.333 0.585

Arrangement Q

Here is Ce2TmRu3 after structural relaxation from Alexandria via LeMat-Bulk. Energies are from PBE.

- SG: C2/c, No. 15
- N(E_F): 0.753 states/eV/atom

Lattice parameters (Å, degrees): 8.208 8.208 5.890 108.69 108.69 40.15
Sites, in units of the cell vectors:
1 Ce 0.090 0.258 0.107
2 Ce 0.258 0.090 0.607
3 Ce 0.742 0.910 0.393
4 Ce 0.910 0.742 0.893
5 Tm 0.344 0.656 0.750
6 Tm 0.656 0.344 0.250
7 Ru 0.145 0.855 0.250
8 Ru 0.274 0.403 0.359
9 Ru 0.403 0.274 0.859
10 Ru 0.597 0.726 0.141
11 Ru 0.726 0.597 0.641
12 Ru 0.855 0.145 0.750

Of them, arrangement Q has the lowest stability.

Arrangement P

Here is CeVRu after structural relaxation from Alexandria via LeMat-Bulk. Energies are from PBE.

- SG: I4mm, No. 107
- N(E_F): 1.400 states/eV/atom

Lattice parameters (Å, degrees): 6.249 6.249 6.249 151.90 151.90 40.15
Sites, in units of the cell vectors:
1 Ce 0.000 0.000 0.000
2 V 0.698 0.698 0.000
3 Ru 0.304 0.304 0.000

Arrangement Q

Here is CeVRu after structural relaxation from Alexandria via LeMat-Bulk. Energies are from PBE.

- SG: Cmcm, No. 63
- N(E_F): 1.559 states/eV/atom

Lattice parameters (Å, degrees): 7.231 7.231 5.367 90.00 90.00 156.50
Sites, in units of the cell vectors:
1 Ce 0.177 0.823 0.750
2 Ce 0.823 0.177 0.250
3 V 0.500 0.500 0.000
4 V 0.500 0.500 0.500
5 Ru 0.354 0.646 0.750
6 Ru 0.646 0.354 0.250

Of them, arrangement Q has the lowest stability.

Arrangement P

Here is CeRu2W after structural relaxation from Alexandria via LeMat-Bulk. Energies are from PBE.

- SG: R-3m, No. 166
- N(E_F): 1.332 states/eV/atom

Lattice parameters (Å, degrees): 9.649 9.649 9.649 17.11 17.11 17.11
Sites, in units of the cell vectors:
1 Ce 0.000 0.000 0.000
2 Ru 0.240 0.240 0.240
3 Ru 0.760 0.760 0.760
4 W 0.500 0.500 0.500

Arrangement Q

Here is CeRu2W after structural relaxation from Alexandria via LeMat-Bulk. Energies are from PBE.

- SG: P4/mmm, No. 123
- N(E_F): 0.963 states/eV/atom

Lattice parameters (Å, degrees): 3.064 3.064 7.510 90.00 90.00 90.00
Sites, in units of the cell vectors:
1 Ce 0.000 0.000 0.000
2 Ru 0.500 0.500 0.296
3 Ru 0.500 0.500 0.704
4 W 0.000 0.000 0.500

Of them, arrangement P has the lowest stability.

Arrangement P

Here is CeY2Ru3 after structural relaxation from Alexandria via LeMat-Bulk. Energies are from PBE.

- SG: P2/m, No. 10
- N(E_F): 0.594 states/eV/atom

Lattice parameters (Å, degrees): 4.858 6.865 7.619 90.00 108.53 90.00
Sites, in units of the cell vectors:
1 Ce 0.165 0.000 0.330
2 Ce 0.835 0.000 0.670
3 Y 0.166 0.500 0.331
4 Y 0.500 0.000 0.000
5 Y 0.500 0.500 0.000
6 Y 0.834 0.500 0.669
7 Ru 0.000 0.239 0.000
8 Ru 0.000 0.761 0.000
9 Ru 0.329 0.235 0.658
10 Ru 0.329 0.765 0.658
11 Ru 0.671 0.235 0.342
12 Ru 0.671 0.765 0.342

Arrangement Q

Here is CeY2Ru3 after structural relaxation from Alexandria via LeMat-Bulk. Energies are from PBE.

- SG: Immm, No. 71
- N(E_F): 1.071 states/eV/atom

Lattice parameters (Å, degrees): 7.632 7.632 7.632 154.83 137.05 50.43
Sites, in units of the cell vectors:
1 Ce 0.000 0.000 0.000
2 Y 0.330 0.330 0.000
3 Y 0.670 0.670 0.000
4 Ru 0.153 0.653 0.500
5 Ru 0.500 0.000 0.500
6 Ru 0.847 0.347 0.500

Of them, arrangement Q has the lowest stability.

Arrangement P

Here is Ce6ZnRu after structural relaxation from Alexandria via LeMat-Bulk. Energies are from PBE.

- SG: C2/m, No. 12
- N(E_F): 2.676 states/eV/atom

Lattice parameters (Å, degrees): 6.005 6.005 6.243 99.59 99.59 101.81
Sites, in units of the cell vectors:
1 Ce 0.075 0.657 0.697
2 Ce 0.318 0.318 0.888
3 Ce 0.343 0.925 0.303
4 Ce 0.657 0.075 0.697
5 Ce 0.682 0.682 0.112
6 Ce 0.925 0.343 0.303
7 Zn 0.500 0.500 0.500
8 Ru 0.000 0.000 0.000

Arrangement Q

Here is Ce6ZnRu after structural relaxation from Alexandria via LeMat-Bulk. Energies are from PBE.

- SG: I4/mmm, No. 139
- N(E_F): 1.593 states/eV/atom

Lattice parameters (Å, degrees): 8.821 8.821 8.821 147.91 147.91 46.01
Sites, in units of the cell vectors:
1 Ce 0.110 0.610 0.500
2 Ce 0.244 0.244 0.000
3 Ce 0.390 0.890 0.500
4 Ce 0.610 0.110 0.500
5 Ce 0.756 0.756 0.000
6 Ce 0.890 0.390 0.500
7 Zn 0.500 0.500 0.000
8 Ru 0.000 0.000 0.000

Of them, arrangement P has the lowest stability.